Crystalline RbLi2Bi2 at its relaxed geometry. Source: Alexandria, functional PBE.

Calculated values
Total magnetization = 0.0 μB/f.u.
Formation enthalpy at 0 K = -0.3424 eV/atom

Structure (POSCAR):
```
RbLi2Bi2
1.0
3.0807 -8.0424 0.0000
3.0807 8.0424 0.0000
-3.0645 0.0000 6.2478
Rb Li Bi
2 4 4
direct
0.1249 0.8751 0.7500 Rb
0.8751 0.1249 0.2500 Rb
0.2711 0.7289 0.2500 Li
0.4788 0.5212 0.2500 Li
0.5212 0.4788 0.7500 Li
0.7289 0.2711 0.7500 Li
0.1760 0.4260 0.8516 Bi
0.4260 0.1760 0.3516 Bi
0.5740 0.8240 0.6484 Bi
0.8240 0.5740 0.1484 Bi
```